1.
VASP calculation (PBE-GGA) on a relaxed BeFe2Au crystal.

a b c (Å): 3.5273 3.5273 4.0093
angles (deg): 90.00 90.00 90.00
With the nearest neighbours (Å) after each atom.
Atoms (fractional coordinates):
Be1 0.0000 0.5000 0.5000  4 Au 2.49, 8 Fe 2.67
Au1 0.5000 0.0000 0.5000  4 Be 2.49, 8 Fe 2.67
Fe1 0.0000 0.0000 0.0000  4 Fe 2.49, 4 Be 2.67, 4 Au 2.67
Fe2 0.5000 0.5000 0.0000  4 Fe 2.49, 4 Be 2.67, 4 Au 2.67

2.
VASP calculation (PBE-GGA) on a relaxed BeFe2Au crystal.

a b c (Å): 3.4266 3.4266 9.4147
angles (deg): 79.51 79.51 90.00
With the nearest neighbours (Å) after each atom.
Atoms (fractional coordinates):
Be1 0.5000 0.5000 0.0000  4 Au 2.42, 4 Fe 2.56
Be2 0.2500 0.7500 0.5000  4 Au 2.42, 4 Fe 2.56
Au1 0.0000 0.0000 0.0000  4 Be 2.42, 4 Fe 2.60
Au2 0.7500 0.2500 0.5000  4 Be 2.42, 4 Fe 2.60
Fe1 0.6083 0.1250 0.2500  4 Fe 2.34-2.51, 2 Be 2.56, 2 Au 2.60
Fe2 0.1417 0.6250 0.2500  4 Fe 2.34-2.51, 2 Be 2.56, 2 Au 2.60
Fe3 0.3750 0.3917 0.7500  4 Fe 2.34-2.51, 2 Be 2.56, 2 Au 2.60
Fe4 0.8750 0.8583 0.7500  4 Fe 2.34-2.51, 2 Be 2.56, 2 Au 2.60

3.
VASP calculation (PBE-GGA) on a relaxed BeFeAu3 crystal.

a b c (Å): 4.3911 4.3911 4.3911
angles (deg): 90.00 90.00 90.00
With the nearest neighbours (Å) after each atom.
Atoms (fractional coordinates):
Be1 0.0000 0.0000 0.0000  6 Au 2.20
Au1 0.0000 0.5000 0.0000  2 Be 2.20
Au2 0.0000 0.0000 0.5000  2 Be 2.20
Au3 0.5000 0.0000 0.0000  2 Be 2.20
Fe1 0.5000 0.5000 0.5000  12 Au 3.10

4.
VASP calculation (PBE-GGA) on a relaxed BeFe2Au crystal.

a b c (Å): 2.6832 3.3567 5.6061
angles (deg): 90.00 90.00 90.00
With the nearest neighbours (Å) after each atom.
Atoms (fractional coordinates):
Be1 0.5000 0.5000 0.7500  8 Fe 2.44, 2 Be 2.68
Au1 0.5000 0.5000 0.2500  2 Au 2.68, 8 Fe 2.71, 2 Be 2.80
Fe1 0.0000 0.0000 0.9549  1 Fe 2.30, 4 Be 2.44
Fe2 0.0000 0.0000 0.5451  1 Fe 2.30, 4 Be 2.44

5.
VASP calculation (PBE-GGA) on a relaxed BeFe3Au crystal.

a b c (Å): 4.0130 4.0130 4.0130
angles (deg): 90.00 90.00 90.00
With the nearest neighbours (Å) after each atom.
Atoms (fractional coordinates):
Be1 0.0000 0.0000 0.0000  6 Fe 2.01
Au1 0.5000 0.5000 0.5000  12 Fe 2.84
Fe1 0.0000 0.5000 0.0000  2 Be 2.01
Fe2 0.0000 0.0000 0.5000  2 Be 2.01
Fe3 0.5000 0.0000 0.0000  2 Be 2.01

6.
VASP calculation (PBE-GGA) on a relaxed BeFeAu3 crystal.

a b c (Å): 4.8071 4.8071 4.8071
angles (deg): 90.00 90.00 90.00
With the nearest neighbours (Å) after each atom.
Atoms (fractional coordinates):
Be1 0.5000 0.5000 0.5000  12 Au 3.40
Au1 0.0000 0.5000 0.0000  2 Fe 2.40
Au2 0.0000 0.0000 0.5000  2 Fe 2.40
Au3 0.5000 0.0000 0.0000  2 Fe 2.40
Fe1 0.0000 0.0000 0.0000  6 Au 2.40

7.
VASP calculation (PBE-GGA) on a relaxed BeFe2Au crystal.

a b c (Å): 4.5925 4.5925 2.6901
angles (deg): 89.95 89.95 114.41
With the nearest neighbours (Å) after each atom.
Atoms (fractional coordinates):
Be1 0.0000 0.5000 0.5000  2 Au 2.49, 8 Fe 2.66, 2 Be 2.69
Au1 0.5000 0.0000 0.5000  2 Be 2.49, 8 Fe 2.66, 2 Au 2.69
Fe1 0.0000 0.0000 0.0000  4 Fe 2.49-2.69, 4 Be 2.66, 4 Au 2.66
Fe2 0.5000 0.5000 0.0000  4 Fe 2.49-2.69, 4 Au 2.66, 4 Be 2.66

8.
VASP calculation (PBE-GGA) on a relaxed BeFe2Au crystal.

a b c (Å): 4.7879 4.7879 3.8468
angles (deg): 66.53 66.53 38.33
With the nearest neighbours (Å) after each atom.
Atoms (fractional coordinates):
Be1 0.2500 0.2500 0.2500  4 Au 2.48, 4 Fe 2.51
Au1 0.7500 0.7500 0.7500  4 Be 2.48, 8 Fe 2.66-2.75
Fe1 0.9882 0.9882 0.0121  4 Fe 2.49, 2 Be 2.51, 4 Au 2.66-2.75
Fe2 0.5118 0.5118 0.4879  4 Fe 2.49, 2 Be 2.51, 4 Au 2.66-2.75

9.
VASP calculation (PBE-GGA) on a relaxed BeFe2Au crystal.

a b c (Å): 2.6631 2.6631 6.9465
angles (deg): 90.00 90.00 89.94
With the nearest neighbours (Å) after each atom.
Atoms (fractional coordinates):
Be1 0.5000 0.5000 0.7500  8 Fe 2.34
Au1 0.5000 0.5000 0.2500  4 Au 2.66, 8 Fe 2.80
Fe1 0.0000 0.0000 0.9509  4 Be 2.34
Fe2 0.0000 0.0000 0.5491  4 Be 2.34

10.
VASP calculation (PBE-GGA) on a relaxed Be4FeAu crystal.

a b c (Å): 4.3758 4.3758 4.3758
angles (deg): 60.00 60.00 60.00
With the nearest neighbours (Å) after each atom.
Atoms (fractional coordinates):
Be1 0.3771 0.8688 0.3771  6 Be 2.15-2.22
Be2 0.8688 0.3771 0.3771  6 Be 2.15-2.22
Be3 0.3771 0.3771 0.8688  6 Be 2.15-2.22
Be4 0.3771 0.3771 0.3771  6 Be 2.15-2.22
Fe1 0.7500 0.7500 0.7500  12 Be 2.56, 4 Au 2.68
Au1 0.0000 0.0000 0.0000  12 Be 2.57, 4 Fe 2.68

11.
VASP calculation (PBE-GGA) on a relaxed Be2FeAu2 crystal.

a b c (Å): 6.7118 6.7118 2.8656
angles (deg): 90.00 90.00 90.00
With the nearest neighbours (Å) after each atom.
Atoms (fractional coordinates):
Be1 0.3688 0.8688 0.0000  6 Au 2.40-2.47, 1 Be 2.49, 2 Fe 2.63
Be2 0.8688 0.6312 0.0000  6 Au 2.40-2.47, 1 Be 2.49, 2 Fe 2.63
Be3 0.6312 0.1312 0.0000  6 Au 2.40-2.47, 1 Be 2.49, 2 Fe 2.63
Be4 0.1312 0.3688 0.0000  6 Au 2.40-2.47, 1 Be 2.49, 2 Fe 2.63
Au1 0.1662 0.6662 0.5000  6 Be 2.40-2.47
Au2 0.6662 0.8338 0.5000  6 Be 2.40-2.47
Au3 0.8338 0.3338 0.5000  6 Be 2.40-2.47
Au4 0.3338 0.1662 0.5000  6 Be 2.40-2.47
Fe1 0.0000 0.0000 0.0000  4 Be 2.63, 2 Fe 2.87, 8 Au 2.88
Fe2 0.5000 0.5000 0.0000  4 Be 2.63, 2 Fe 2.87, 8 Au 2.88

12.
VASP calculation (PBE-GGA) on a relaxed BeFe4Au crystal.

a b c (Å): 4.7333 4.7333 4.7333
angles (deg): 60.00 60.00 60.00
With the nearest neighbours (Å) after each atom.
Atoms (fractional coordinates):
Be1 0.0000 0.0000 0.0000  12 Fe 2.77, 4 Au 2.90
Fe1 0.8783 0.3739 0.3739  6 Fe 2.35-2.39
Fe2 0.3739 0.3739 0.8783  6 Fe 2.35-2.39
Fe3 0.3739 0.8783 0.3739  6 Fe 2.35-2.39
Fe4 0.3739 0.3739 0.3739  6 Fe 2.35-2.39
Au1 0.7500 0.7500 0.7500  12 Fe 2.78, 4 Be 2.90

Taking the records one at a time from the top gives energy of formation from the pure elements values of 0.0448 0.3642 0.4121 0.1057 0.4561 1.1248 0.1870 0.0398 0.0601 -0.1005 -0.0053 0.2746 eV per atom.